Entry from Alexandria via LeMat-Bulk: an optimized crystal structure of ReHgTe2N (GGA-PBEsol).

abc: 5.539 5.539 3.907
angles: 90.00 90.00 90.00
Space group P4/mmm (No. 123)
One atom of each set of equivalent atoms:
Re 0.000 0.000 0.000 [1 per cell]
Hg 0.500 0.500 0.500 [1 per cell]
Te 0.000 0.500 0.500 [2 per cell]
N 0.500 0.500 0.000 [1 per cell]

Output
The calculation puts the uncorrected formation energy at 2.096 eV per atom.

---

Entry from Alexandria via LeMat-Bulk: an optimized crystal structure of Hg2RhSeN (GGA-PBEsol).

abc: 5.246 5.246 4.568
angles: 90.00 90.00 90.00
Space group P4/mmm (No. 123)
One atom of each set of equivalent atoms:
Hg 0.000 0.500 0.000 [2 per cell]
Rh 0.000 0.000 0.000 [1 per cell]
Se 0.000 0.000 0.500 [1 per cell]
N 0.500 0.500 0.500 [1 per cell]

Output
The calculation puts the uncorrected formation energy at 1.124 eV per atom.

---

Entry from Alexandria via LeMat-Bulk: an optimized crystal structure of HgTe2RhN (GGA-PBEsol).

abc: 5.493 5.493 3.589
angles: 90.00 90.00 90.00
Space group P4/mmm (No. 123)
One atom of each set of equivalent atoms:
Hg 0.000 0.000 0.000 [1 per cell]
Te 0.000 0.500 0.500 [2 per cell]
Rh 0.500 0.500 0.500 [1 per cell]
N 0.500 0.500 0.000 [1 per cell]

Output
The calculation puts the uncorrected formation energy at 0.279 eV per atom.

---

Entry from Alexandria via LeMat-Bulk: an optimized crystal structure of HgRuS2N (GGA-PBEsol).

abc: 4.804 4.804 3.617
angles: 90.00 90.00 90.00
Space group P4/mmm (No. 123)
One atom of each set of equivalent atoms:
Hg 0.000 0.000 0.000 [1 per cell]
Ru 0.500 0.500 0.500 [1 per cell]
S 0.000 0.500 0.500 [2 per cell]
N 0.500 0.500 0.000 [1 per cell]

Output
The calculation puts the uncorrected formation energy at 0.344 eV per atom.